Record 1
BeH2Ru | PBE | relaxed Values from VASP.

The structure in Quantum ESPRESSO input format:
```
&SYSTEM
  ibrav = 0, nat = 8, ntyp = 3
/
ATOMIC_SPECIES
Ru 101.07 Ru.upf
H 1.01 H.upf
Be 9.01 Be.upf
CELL_PARAMETERS angstrom
3.649 0.000 0.000
0.000 3.649 0.000
1.825 1.825 4.403
ATOMIC_POSITIONS crystal
Ru 0.000 0.000 0.000
Ru 0.750 0.250 0.500
H 0.594 0.125 0.250
H 0.156 0.625 0.250
H 0.375 0.406 0.750
H 0.875 0.844 0.750
Be 0.500 0.500 0.000
Be 0.250 0.750 0.500
```

Results
Total moment, μB/atom: 0.000
D(E_F), states/eV per cell: 1.4
Relative energy among the computed polymorphs, meV per atom: 19

---

Record 2
PmThCdCu | PBE | relaxed Values from VASP.

The structure in Quantum ESPRESSO input format:
```
&SYSTEM
  ibrav = 0, nat = 4, ntyp = 4
/
ATOMIC_SPECIES
Cd 112.41 Cd.upf
Cu 63.55 Cu.upf
Th 232.04 Th.upf
Pm 145.00 Pm.upf
CELL_PARAMETERS angstrom
-0.172 -4.857 -2.006
-0.631 -4.138 3.182
-4.528 -2.673 -0.030
ATOMIC_POSITIONS crystal
Cd 0.750 0.750 0.750
Cu 0.250 0.250 0.250
Th 0.500 0.500 0.500
Pm 0.000 0.000 0.000
```

Results
ΔE_f, meV/atom: -69
Total moment, μB/atom: 0.000
D(E_F), states/eV per cell: 4.3

---

Record 3
Cs2KTlCl4 | PBE | relaxed Values from VASP.

The structure in Quantum ESPRESSO input format:
```
&SYSTEM
  ibrav = 0, nat = 8, ntyp = 4
/
ATOMIC_SPECIES
Cs 132.91 Cs.upf
K 39.10 K.upf
Tl 204.38 Tl.upf
Cl 35.45 Cl.upf
CELL_PARAMETERS angstrom
4.777 0.000 0.000
0.000 8.276 -0.172
0.000 2.904 7.731
ATOMIC_POSITIONS crystal
Cs 0.000 0.000 0.000
Cs 0.500 0.000 0.500
K 0.000 0.500 0.500
Tl 0.500 0.500 0.000
Cl 0.000 0.728 0.754
Cl 0.000 0.272 0.246
Cl 0.500 0.726 0.261
Cl 0.500 0.274 0.739
```

Results
Energy relative to the elements, uncorrected, meV per atom: -1719
Total moment, μB/atom: 0.000
D(E_F), states/eV per cell: 0.0

---

Record 4
Ce4IrCl5 | PBE | relaxed Values from VASP.

The structure in Quantum ESPRESSO input format:
```
&SYSTEM
  ibrav = 0, nat = 10, ntyp = 3
/
ATOMIC_SPECIES
Ce 140.12 Ce.upf
Ir 192.22 Ir.upf
Cl 35.45 Cl.upf
CELL_PARAMETERS angstrom
3.930 0.000 0.000
0.000 8.431 -0.353
-1.965 -1.564 8.853
ATOMIC_POSITIONS crystal
Ce 0.331 0.934 0.663
Ce 0.995 0.772 0.989
Ce 0.669 0.066 0.337
Ce 0.005 0.228 0.011
Ir 0.500 0.000 0.000
Cl 0.831 0.685 0.661
Cl 0.838 0.192 0.675
Cl 0.162 0.808 0.325
Cl 0.500 0.500 0.000
Cl 0.169 0.315 0.339
```

Results
Energy relative to the elements, uncorrected, meV per atom: -1653
Total moment, μB/atom: 0.451
D(E_F), states/eV per cell: 21.6

---

Record 5
HoSn2Pd7Au2 | PBE | relaxed Values from VASP.

The structure in Quantum ESPRESSO input format:
```
&SYSTEM
  ibrav = 0, nat = 12, ntyp = 4
/
ATOMIC_SPECIES
Ho 164.93 Ho.upf
Sn 118.71 Sn.upf
Pd 106.42 Pd.upf
Au 196.97 Au.upf
CELL_PARAMETERS angstrom
-0.010 -2.360 3.384
3.343 -2.039 -1.301
10.796 4.024 8.002
ATOMIC_POSITIONS crystal
Ho 0.000 0.000 0.000
Sn 0.680 0.680 0.320
Sn 0.320 0.320 0.680
Pd 0.500 0.500 0.000
Pd 0.253 0.253 0.500
Pd 0.747 0.747 0.500
Pd 0.838 0.338 0.162
Pd 0.338 0.838 0.162
Pd 0.662 0.162 0.838
Pd 0.162 0.662 0.838
Au 0.817 0.817 0.683
Au 0.183 0.183 0.317
```

Results
ΔE_f, meV/atom: -469
Total moment, μB/atom: 0.000
D(E_F), states/eV per cell: 6.2

---

Record 6
Pr2Nd3Sm3 | PBE | relaxed Values from VASP.

The structure in Quantum ESPRESSO input format:
```
&SYSTEM
  ibrav = 0, nat = 16, ntyp = 3
/
ATOMIC_SPECIES
Pr 140.91 Pr.upf
Nd 144.24 Nd.upf
Sm 150.36 Sm.upf
CELL_PARAMETERS angstrom
5.707 0.000 0.000
-2.854 6.060 0.000
0.000 0.000 16.455
ATOMIC_POSITIONS crystal
Pr 0.778 0.556 0.871
Pr 0.222 0.444 0.371
Pr 0.778 0.556 0.629
Pr 0.222 0.444 0.129
Nd 0.924 0.848 0.407
Nd 0.076 0.152 0.907
Nd 0.924 0.848 0.093
Nd 0.076 0.152 0.593
Nd 0.737 0.474 0.250
Nd 0.263 0.526 0.750
Sm 0.619 0.239 0.449
Sm 0.381 0.761 0.949
Sm 0.619 0.239 0.051
Sm 0.381 0.761 0.551
Sm 0.461 0.921 0.250
Sm 0.539 0.079 0.750
```

Results
ΔE_f, meV/atom: 121
Total moment, μB/atom: 0.000
D(E_F), states/eV per cell: 23.5
Relative energy among the computed polymorphs, meV per atom: 108

---

Record 7
Ta2ZnOs | PBE | relaxed Values from VASP.

The structure in Quantum ESPRESSO input format:
```
&SYSTEM
  ibrav = 0, nat = 4, ntyp = 3
/
ATOMIC_SPECIES
Os 190.23 Os.upf
Ta 180.95 Ta.upf
Zn 65.41 Zn.upf
CELL_PARAMETERS angstrom
4.508 0.000 0.000
0.000 2.957 -0.033
0.000 0.708 4.885
ATOMIC_POSITIONS crystal
Os 0.500 0.631 0.795
Ta 0.000 0.025 0.943
Ta 0.500 0.201 0.299
Zn 0.000 0.643 0.463
```

Results
ΔE_f, meV/atom: -74
Total moment, μB/atom: 0.000
D(E_F), states/eV per cell: 2.5

---

Record 8
MgZnTe2O6 | PBE | relaxed Values from VASP.

The structure in Quantum ESPRESSO input format:
```
&SYSTEM
  ibrav = 0, nat = 20, ntyp = 4
/
ATOMIC_SPECIES
Mg 24.30 Mg.upf
Zn 65.41 Zn.upf
Te 127.60 Te.upf
O 16.00 O.upf
CELL_PARAMETERS angstrom
-3.663 -1.035 -5.632
-5.146 -4.351 1.670
-4.584 5.194 -0.450
ATOMIC_POSITIONS crystal
Mg 0.250 0.941 0.059
Mg 0.750 0.059 0.941
Zn 0.250 0.256 0.744
Zn 0.750 0.744 0.256
Te 0.219 0.820 0.560
Te 0.281 0.440 0.180
Te 0.781 0.180 0.440
Te 0.719 0.560 0.820
O 0.145 0.008 0.798
O 0.355 0.202 0.992
O 0.855 0.992 0.202
O 0.645 0.798 0.008
O 0.194 0.006 0.358
O 0.306 0.642 0.994
O 0.806 0.994 0.642
O 0.694 0.358 0.006
O 0.022 0.504 0.751
O 0.478 0.249 0.496
O 0.978 0.496 0.249
O 0.522 0.751 0.504
```

Results
Energy relative to the elements, uncorrected, meV per atom: -1431
Total moment, μB/atom: 0.000
D(E_F), states/eV per cell: 0.0

---

Record 9
MgTc2Os | PBE | relaxed Values from VASP.

The structure in Quantum ESPRESSO input format:
```
&SYSTEM
  ibrav = 0, nat = 4, ntyp = 3
/
ATOMIC_SPECIES
Mg 24.30 Mg.upf
Os 190.23 Os.upf
Tc 98.00 Tc.upf
CELL_PARAMETERS angstrom
4.949 0.000 0.000
-2.254 4.405 0.000
0.000 0.000 2.749
ATOMIC_POSITIONS crystal
Mg 0.500 0.000 0.500
Os 0.000 0.500 0.500
Tc 0.000 0.000 0.000
Tc 0.500 0.500 0.000
```

Results
ΔE_f, meV/atom: 293
Total moment, μB/atom: 0.000
D(E_F), states/eV per cell: 4.6

---

Record 10
Y2MoRh | PBE | relaxed Values from VASP.

The structure in Quantum ESPRESSO input format:
```
&SYSTEM
  ibrav = 0, nat = 4, ntyp = 3
/
ATOMIC_SPECIES
Mo 95.94 Mo.upf
Rh 102.91 Rh.upf
Y 88.91 Y.upf
CELL_PARAMETERS angstrom
3.440 0.000 0.000
0.000 3.453 -0.009
0.000 3.472 7.142
ATOMIC_POSITIONS crystal
Mo 0.500 0.250 0.250
Rh 0.500 0.750 0.750
Y 0.000 0.011 0.989
Y 0.000 0.489 0.511
```

Results
ΔE_f, meV/atom: -89
Total moment, μB/atom: 0.393
D(E_F), states/eV per cell: 4.6

---

Record 11
Dy2ZnGa4Cu3 | PBE | relaxed Values from VASP.

The structure in Quantum ESPRESSO input format:
```
&SYSTEM
  ibrav = 0, nat = 10, ntyp = 4
/
ATOMIC_SPECIES
Dy 162.50 Dy.upf
Zn 65.41 Zn.upf
Ga 69.72 Ga.upf
Cu 63.55 Cu.upf
CELL_PARAMETERS angstrom
4.129 0.000 0.000
0.000 4.129 0.000
0.000 0.000 10.249
ATOMIC_POSITIONS crystal
Dy 0.500 0.000 0.249
Dy 0.000 0.500 0.751
Zn 0.500 0.500 0.500
Ga 0.500 0.500 0.000
Ga 0.000 0.000 0.000
Ga 0.500 0.000 0.639
Ga 0.000 0.500 0.361
Cu 0.000 0.000 0.500
Cu 0.500 0.000 0.869
Cu 0.000 0.500 0.131
```

Results
ΔE_f, meV/atom: -437
Total moment, μB/atom: 0.000
D(E_F), states/eV per cell: 5.0

---

Record 12
PrInPt | PBE | relaxed Values from VASP.

The structure in Quantum ESPRESSO input format:
```
&SYSTEM
  ibrav = 0, nat = 3, ntyp = 3
/
ATOMIC_SPECIES
Pr 140.91 Pr.upf
Pt 195.08 Pt.upf
In 114.82 In.upf
CELL_PARAMETERS angstrom
-1.582 2.062 4.091
-2.593 -2.588 3.173
1.941 -1.263 4.258
ATOMIC_POSITIONS crystal
Pr 0.500 0.500 0.500
Pt 0.250 0.250 0.250
In 0.000 0.000 0.000
```

Results
ΔE_f, meV/atom: -787
Total moment, μB/atom: 0.000
D(E_F), states/eV per cell: 4.2

---

no.,raw total energy (eV/atom)
1,-4.7580
2,-4.3639
3,-3.2887
4,-5.8362
5,-5.0931
6,-4.6314
7,-9.1265
8,-5.3211
9,-8.0959
10,-7.8665
11,-3.9246
12,-5.3071